The following is a GGA-PBE calculation of a geometry-optimized PmAgGePd structure, from Alexandria via LeMat-Bulk.

Structure (POSCAR):
```
PmAgGePd
1.0
-3.564 -0.058 3.262
-1.925 -4.204 1.400
0.830 -1.672 4.456
Ge Pd Ag Pm
1 1 1 1
direct
0.500 0.500 0.500
0.750 0.750 0.750
0.000 0.000 0.000
0.250 0.250 0.250
```



The following is a GGA-PBE calculation of a geometry-optimized Ce4AsPt structure, from Alexandria via LeMat-Bulk.

Structure (POSCAR):
```
Ce4AsPt
1.0
5.291 0.001 -0.001
0.001 7.443 0.383
-2.647 -2.672 7.655
Ce As Pt
8 2 2
direct
0.541 0.031 0.861
0.680 0.469 0.139
0.459 0.969 0.139
0.320 0.531 0.861
0.020 0.888 0.672
0.347 0.612 0.327
0.980 0.112 0.328
0.653 0.388 0.673
0.899 0.750 0.000
0.101 0.250 0.000
0.500 0.000 0.500
0.000 0.500 0.500
```



The following is a GGA-PBE calculation of a geometry-optimized ScAlV2Pb structure, from Alexandria via LeMat-Bulk.

Structure (POSCAR):
```
ScAlV2Pb
1.0
-3.501 2.293 -2.128
0.619 -2.814 -4.051
-3.073 -3.118 1.696
Pb Sc Al V
1 1 1 2
direct
0.500 0.500 0.500
0.000 0.500 0.000
0.000 0.000 0.000
0.000 0.000 0.500
0.500 0.000 0.000
```



The DFT total energy results, record by record, are as follows: -4.82, -6.41, -5.71 eV per atom.
The energy relative to the elements results, record by record, are as follows: -0.466, -0.668, 0.692 eV/atom.